# BeI2

A geometry-optimized BeI2 structure (PBE, the Alexandria database).

Calculated values
M_tot: 0.000 μB per formula unit
Offset from the most stable computed form: 0.00 kcal/mol of atoms
Formation energy without anion corrections: -0.56 eV/atom

```
BeI2
1.0
6.7852 0.0000 0.0000
0.0000 12.6136 0.0000
0.0000 0.0000 6.1300
Be I
4 8
Cartesian
0.0000 0.0000 1.5325
0.0000 0.0000 4.5975
3.3926 6.3068 1.5325
3.3926 6.3068 4.5975
1.3336 1.3308 0.0000
1.3336 11.2828 3.0650
2.0590 4.9760 3.0650
2.0590 7.6377 0.0000
4.7261 4.9760 0.0000
4.7261 7.6377 3.0650
5.4516 1.3308 3.0650
5.4516 11.2828 0.0000
```

=====

# Be4I

A geometry-optimized Be4I structure (PBE, the Alexandria database).

Calculated values
M_tot: 0.000 μB per formula unit
Formation energy without anion corrections: 2.08 eV/atom

```
Be4I
1.0
4.7470 0.0000 0.0000
0.0000 4.7470 0.0000
0.0000 0.0000 4.7470
Be I
4 1
Cartesian
0.0000 0.0000 0.0000
0.0000 2.3735 2.3735
2.3735 0.0000 2.3735
2.3735 2.3735 0.0000
2.3735 2.3735 2.3735
```

=====

# BeI

A geometry-optimized BeI structure (PBE, the Alexandria database).

Calculated values
M_tot: 0.000 μB per formula unit
Offset from the most stable computed form: 0.55 kcal/mol of atoms
Formation energy without anion corrections: 0.06 eV/atom

```
BeI
1.0
3.8850 0.0000 0.0000
1.9422 3.3658 0.0000
1.2549 0.7873 9.1422
Be I
2 2
Cartesian
0.6275 0.3929 3.5371
6.4545 3.7601 5.6050
2.5709 1.5163 6.8458
4.5111 2.6367 2.2963
```

=====

# BeI2

A geometry-optimized BeI2 structure (PBE, the Alexandria database).

Calculated values
M_tot: 0.000 μB per formula unit
Offset from the most stable computed form: 0.14 kcal/mol of atoms
Formation energy without anion corrections: -0.56 eV/atom

```
BeI2
1.0
-6.5564 6.5564 10.6446
6.5564 -6.5564 10.6446
6.5564 6.5564 -10.6446
Be I
16 32
Cartesian
7.5696 4.9146 -6.6404
1.6364 2.2650 -1.3181
7.5696 -1.6418 6.6404
4.9200 2.2650 1.3181
4.9200 -2.2650 9.3266
7.5696 1.6418 4.0043
8.1928 4.2914 1.3181
1.0132 1.6418 6.6404
5.5432 4.9146 4.0043
-1.6364 2.2650 9.3266
-1.0132 4.9146 6.6404
1.6364 8.8214 1.3181
1.6364 4.2914 9.3266
-1.0132 8.1982 4.0043
4.9200 4.2914 11.9627
-1.0132 1.6418 17.2850
6.5564 3.2782 -5.1558
10.3325 2.6647 -2.6798
3.2782 1.0219 0.0000
5.9429 6.0585 -8.0021
5.9429 0.4979 2.6426
2.7803 3.8918 -2.6798
6.5564 3.2782 -0.1665
2.2564 0.0000 5.3223
8.8128 0.0000 5.3223
0.0000 3.2782 0.1665
9.3367 2.6647 2.6798
5.9429 -0.4979 8.0021
5.9429 7.0543 -2.6426
3.2782 -1.0219 10.6446
3.7761 3.8918 2.6798
0.0000 3.2782 5.1558
6.5564 3.2782 5.4888
2.7803 2.6647 7.9649
3.2782 7.5783 0.0000
0.6135 -0.4979 13.2872
0.6135 7.0543 2.6426
-2.7803 3.8918 7.9649
6.5564 3.2782 10.4781
-2.2564 6.5564 5.3223
4.3001 6.5564 5.3223
0.0000 3.2782 10.8111
3.7761 2.6647 13.3244
0.6135 6.0585 8.0021
0.6135 0.4979 18.6467
3.2782 5.5346 10.6446
-3.7761 3.8918 13.3244
0.0000 3.2782 15.8005
```

=====

# BeI

A geometry-optimized BeI structure (PBE, the Alexandria database).

Calculated values
M_tot: 0.342 μB per formula unit
Offset from the most stable computed form: 0.00 kcal/mol of atoms
Formation energy without anion corrections: 0.04 eV/atom

```
BeI
1.0
11.6246 0.0000 0.0000
-5.8123 10.0672 0.0000
0.0000 0.0000 3.8287
Be I
6 6
Cartesian
-0.4161 5.5409 0.9572
-0.8057 7.6571 0.9572
1.2218 6.9364 0.9572
4.5905 3.1308 2.8715
6.6180 2.4101 2.8715
6.2284 4.5263 2.8715
-0.8956 4.2225 2.8715
-1.7077 8.7316 2.8715
3.2090 2.8869 0.9572
2.6033 7.1803 2.8715
7.5200 1.3356 0.9572
6.7079 5.8447 0.9572
```

=====

# BeI

A geometry-optimized BeI structure (PBE, the Alexandria database).

Calculated values
M_tot: 0.000 μB per formula unit
Offset from the most stable computed form: 18.52 kcal/mol of atoms
Formation energy without anion corrections: 0.84 eV/atom

```
BeI
1.0
7.2760 0.0000 0.0000
0.0000 7.2760 0.0000
0.0000 0.0000 7.2760
Be I
6 6
Cartesian
0.0000 1.8190 3.6380
0.0000 5.4570 3.6380
1.8190 3.6380 0.0000
3.6380 0.0000 1.8190
3.6380 0.0000 5.4570
5.4570 3.6380 0.0000
0.0000 3.6380 1.8190
0.0000 3.6380 5.4570
1.8190 0.0000 3.6380
3.6380 1.8190 0.0000
3.6380 5.4570 0.0000
5.4570 0.0000 3.6380
```

=====

# BeI

A geometry-optimized BeI structure (PBE, the Alexandria database).

Calculated values
M_tot: 0.000 μB per formula unit
Offset from the most stable computed form: 2.24 kcal/mol of atoms
Formation energy without anion corrections: 0.13 eV/atom

```
BeI
1.0
6.8527 0.0000 0.0000
0.0000 8.0228 0.0000
0.0000 0.0000 9.1699
Be I
8 8
Cartesian
0.0961 0.7874 3.7923
0.2699 0.2660 1.7842
3.1565 7.7568 6.3692
3.3303 7.2354 8.3773
3.5224 3.2240 5.3776
3.6962 3.7454 7.3857
6.5828 4.2774 2.8008
6.7566 4.7988 0.7926
0.9219 3.0425 4.5631
0.9847 7.2183 5.4333
2.4417 0.8045 0.8483
2.5045 4.9803 9.1481
4.3482 0.9689 4.6068
4.4110 4.8159 3.7367
5.8680 3.2069 8.3216
5.9308 7.0539 0.0218
```

=====

# BeI

A geometry-optimized BeI structure (PBE, the Alexandria database).

Calculated values
M_tot: 0.000 μB per formula unit
Offset from the most stable computed form: 0.82 kcal/mol of atoms
Formation energy without anion corrections: 0.07 eV/atom

```
BeI
1.0
3.8758 0.0000 0.0000
1.9351 4.7404 0.0000
0.0746 1.2721 7.3597
Be I
2 2
Cartesian
1.0057 2.0111 3.4025
4.8799 4.0014 3.9572
2.9421 4.9686 5.3068
2.9434 1.0438 2.0528
```

=====

# BeI

A geometry-optimized BeI structure (PBE, the Alexandria database).

Calculated values
M_tot: 0.000 μB per formula unit
Offset from the most stable computed form: 0.94 kcal/mol of atoms
Formation energy without anion corrections: 0.08 eV/atom

```
BeI
1.0
8.8070 0.0000 0.0000
0.0000 8.8070 0.0000
0.0000 0.0000 3.7824
Be I
4 4
Cartesian
0.7286 0.7286 0.0000
3.6749 5.1321 1.8912
5.1321 3.6749 1.8912
8.0784 8.0784 0.0000
1.7926 1.7926 1.8912
2.6109 6.1960 0.0000
6.1960 2.6109 0.0000
7.0144 7.0144 1.8912
```

=====

# BeI

A geometry-optimized BeI structure (PBE, the Alexandria database).

Calculated values
M_tot: 0.001 μB per formula unit
Offset from the most stable computed form: 14.23 kcal/mol of atoms
Formation energy without anion corrections: 0.65 eV/atom

```
BeI
1.0
9.6296 0.0000 0.0000
0.0000 9.6296 0.0000
0.0000 0.0000 5.2604
Be I
8 8
Cartesian
0.8597 3.3910 0.0000
1.4622 6.3473 2.6302
3.2822 1.4622 2.6302
3.3910 8.7698 0.0000
6.2385 0.8597 0.0000
6.3473 8.1674 2.6302
8.1674 3.2822 2.6302
8.7698 6.2385 0.0000
1.0653 2.8268 2.6302
1.6957 5.8578 0.0000
2.8268 8.5642 2.6302
3.7718 1.6957 0.0000
5.8578 7.9339 0.0000
6.8028 1.0653 2.6302
7.9339 3.7718 0.0000
8.5642 6.8028 2.6302
```

=====

# BeI

A geometry-optimized BeI structure (PBE, the Alexandria database).

Calculated values
M_tot: 0.000 μB per formula unit
Offset from the most stable computed form: 0.82 kcal/mol of atoms
Formation energy without anion corrections: 0.07 eV/atom

```
BeI
1.0
3.7247 0.0000 0.0000
0.0000 17.5281 0.0000
0.0000 0.0000 5.6076
Be I
6 6
Cartesian
0.9312 3.3472 1.0505
0.9312 5.4169 1.0505
0.9312 13.1461 3.6710
2.7935 4.3820 1.9366
2.7935 12.1112 4.5571
2.7935 14.1809 4.5571
0.9312 4.3820 4.3871
0.9312 10.4198 4.2149
0.9312 15.8724 4.2149
2.7935 1.6557 1.3927
2.7935 7.1083 1.3927
2.7935 13.1461 1.2205
```

=====

# BeI

A geometry-optimized BeI structure (PBE, the Alexandria database).

Calculated values
M_tot: 0.467 μB per formula unit
Offset from the most stable computed form: 18.68 kcal/mol of atoms
Formation energy without anion corrections: 0.85 eV/atom

```
BeI
1.0
6.0932 0.0000 0.0000
0.0000 6.0932 0.0000
0.0000 0.0000 6.0932
Be I
4 4
Cartesian
0.0000 0.0000 0.0000
0.0000 3.0466 3.0466
3.0466 0.0000 3.0466
3.0466 3.0466 0.0000
1.5233 1.5233 4.5699
1.5233 4.5699 1.5233
4.5699 1.5233 1.5233
4.5699 4.5699 4.5699
```